[1]
Entry from the Alexandria database: ReRuO4 after structural relaxation (GGA-PBE).

Lattice parameters (Å, degrees): 4.8291 5.6169 5.6080 119.69 90.00 90.00
Last column: nearest neighbours and their distance in Å.
Positions (direct):
O  0.7912  0.1340  0.3420  1 Re 1.96, 2 Ru 2.00-2.06
O  0.7215  0.1560  0.8636  2 Re 1.96-2.00, 1 Ru 2.07
O  0.7088  0.6340  0.3420  1 Re 1.96, 2 Ru 2.00-2.06
O  0.7785  0.6560  0.8636  2 Re 1.96-2.00, 1 Ru 2.07
O  0.2088  0.8660  0.6580  1 Re 1.96, 2 Ru 2.00-2.06
O  0.2215  0.3440  0.1364  2 Re 1.96-2.00, 1 Ru 2.07
O  0.2912  0.3660  0.6580  1 Re 1.96, 2 Ru 2.00-2.06
O  0.2785  0.8440  0.1364  2 Re 1.96-2.00, 1 Ru 2.07
Re  0.5000  0.5000  0.0000  6 O 1.96-2.00
Re  0.0000  0.0000  0.0000  6 O 1.96-2.00
Ru  0.5000  0.0000  0.5000  6 O 2.00-2.07
Ru  0.0000  0.5000  0.5000  6 O 2.00-2.07

Computed properties:
Its space-group type is P2_1/c (14).

---

[2]
Entry from the Alexandria database: ReRuO3 after structural relaxation (GGA-PBE).

Lattice parameters (Å, degrees): 3.8969 3.8969 3.8969 90.00 90.00 90.00
Last column: nearest neighbours and their distance in Å.
Positions (direct):
Re  0.5000  0.5000  0.5000  12 O 2.76
O  0.0000  0.5000  0.0000  2 Ru 1.95
O  0.5000  0.0000  0.0000  2 Ru 1.95
O  0.0000  0.0000  0.5000  2 Ru 1.95
Ru  0.0000  0.0000  0.0000  6 O 1.95

Computed properties:
Its space-group type is Pm-3m (221).

---

[3]
Entry from the Alexandria database: Re2SbRuO after structural relaxation (GGA-PBE).

Lattice parameters (Å, degrees): 4.8795 3.6577 4.8795 90.00 90.00 90.00
Last column: nearest neighbours and their distance in Å.
Positions (direct):
Re  0.0000  0.0000  0.5000  2 Ru 2.44
Re  0.5000  0.0000  0.0000  2 Ru 2.44
O  0.0000  0.5000  0.0000  2 Ru 1.83
Sb  0.5000  0.5000  0.5000  8 Re 3.05
Ru  0.0000  0.0000  0.0000  2 O 1.83

Computed properties:
Its space-group type is P4/mmm (123).

---

[4]
Entry from the Alexandria database: Sc2ReRuO after structural relaxation (GGA-PBE).

Lattice parameters (Å, degrees): 5.0312 4.5503 5.0312 90.00 90.00 90.00
Last column: nearest neighbours and their distance in Å.
Positions (direct):
Re  0.0000  0.5000  0.0000  2 Ru 2.28
O  0.5000  0.5000  0.5000  8 Sc 3.39, 4 Re 3.56
Sc  0.0000  0.0000  0.5000  2 Ru 2.52
Sc  0.5000  0.0000  0.0000  2 Ru 2.52
Ru  0.0000  0.0000  0.0000  2 Re 2.28, 4 Sc 2.52

Computed properties:
Its space-group type is P4/mmm (123).

---

[5]
Entry from the Alexandria database: Sr2ReRuO6 after structural relaxation (GGA-PBE).

Lattice parameters (Å, degrees): 4.0520 5.5995 5.5995 90.00 90.00 90.00
Last column: nearest neighbours and their distance in Å.
Positions (direct):
Sr  0.1443  0.5000  0.0000  12 O 2.80-2.83
Sr  0.1443  0.0000  0.5000  12 O 2.80-2.83
O  0.6448  0.2454  0.7546  1 Re 1.94, 1 Ru 2.02
O  0.6448  0.7546  0.2454  1 Re 1.94, 1 Ru 2.02
O  0.1447  0.5000  0.5000  2 Ru 2.03
O  0.1447  0.0000  0.0000  2 Re 2.03
O  0.6448  0.7546  0.7546  1 Re 1.94, 1 Ru 2.02
O  0.6448  0.2454  0.2454  1 Re 1.94, 1 Ru 2.02
Re  0.6447  0.0000  0.0000  6 O 1.94-2.03
Ru  0.6447  0.5000  0.5000  6 O 2.02-2.03

Computed properties:
Its space-group type is P4/mmm (123).

---

[6]
Entry from the Alexandria database: TlReRu2O after structural relaxation (GGA-PBE).

Lattice parameters (Å, degrees): 4.2711 4.0202 4.2711 90.00 90.00 90.00
Last column: nearest neighbours and their distance in Å.
Positions (direct):
O  0.0000  0.0000  0.0000  2 Re 2.01, 4 Ru 2.14
Tl  0.5000  0.5000  0.5000  8 Ru 2.93, 4 Re 3.02
Re  0.0000  0.5000  0.0000  2 O 2.01
Ru  0.5000  0.0000  0.0000  2 O 2.14
Ru  0.0000  0.0000  0.5000  2 O 2.14

Computed properties:
Its space-group type is P4/mmm (123).

---

[7]
Entry from the Alexandria database: Tl2ReRuO6 after structural relaxation (GGA-PBE).

Lattice parameters (Å, degrees): 5.3859 5.3859 6.8828 66.78 66.78 90.00
Last column: nearest neighbours and their distance in Å.
Positions (direct):
O  0.7402  0.7400  0.0008  1 Re 1.83, 1 Ru 1.98
O  0.1661  0.1661  0.6694  1 Ru 1.89
O  0.7404  0.2594  0.0000  1 Re 1.83, 1 Ru 1.98
O  0.8339  0.8339  0.3306  1 Ru 1.89
O  0.2598  0.2600  0.9992  1 Re 1.83, 1 Ru 1.98
O  0.2596  0.7406  0.0000  1 Re 1.83, 1 Ru 1.98
Re  0.5000  0.5000  0.0000  4 O 1.83
Ru  0.0000  0.0000  0.0000  6 O 1.89-1.98
Tl  0.7502  0.2498  0.5000  4 O 2.86-2.87
Tl  0.2498  0.7502  0.5000  4 O 2.86-2.87

Computed properties:
Its space-group type is C2/m (12).

---

[8]
Entry from the Alexandria database: TlReRuO6 after structural relaxation (GGA-PBE).

Lattice parameters (Å, degrees): 5.3286 5.3287 5.9786 90.00 90.00 60.00
Last column: nearest neighbours and their distance in Å.
Positions (direct):
O  0.0105  0.3850  0.3235  1 Re 1.92, 1 Ru 1.99
O  0.6045  0.0105  0.3235  1 Re 1.92, 1 Ru 1.99
O  0.3850  0.0105  0.6765  1 Re 1.92, 1 Ru 1.99
O  0.3850  0.6045  0.3235  1 Re 1.92, 1 Ru 1.99
O  0.0105  0.6045  0.6765  1 Re 1.92, 1 Ru 1.99
O  0.6045  0.3850  0.6765  1 Re 1.92, 1 Ru 1.99
Ru  0.6667  0.6667  0.5000  6 O 1.99
Re  0.3333  0.3333  0.5000  6 O 1.92
Tl  0.0000  0.0000  0.0000  6 O 2.84

Computed properties:
Its space-group type is P312 (149).

---

Ρ for every record listed, in sequence, given in g cm⁻³: 8.8; 9.4; 11.7; 5.7; 7.3; 13.8; 7.9; 6.6.
ΔE_f (raw) for every record listed, in sequence, given in eV per atom: -1.189; 0.410; 1.106; 0.795; -1.898; 0.558; -0.909; -1.161.